A relaxed structure of TmTlRuRh. Source: the Alexandria database, functional PBE-GGA.

```
16
Lattice="6.6411 0.0000 0.0000 0.0000 6.6411 0.0000 0.0000 0.0000 6.6411" Properties=species:S:1:pos:R:3 pbc="T T T"
Tm 0.0000 0.0000 0.0000
Tm 0.0000 3.3206 3.3206
Tm 3.3206 0.0000 3.3206
Tm 3.3206 3.3206 0.0000
Tl 0.0000 0.0000 3.3206
Tl 0.0000 3.3206 0.0000
Tl 3.3206 0.0000 0.0000
Tl 3.3206 3.3206 3.3206
Ru 1.6603 1.6603 4.9808
Ru 1.6603 4.9808 1.6603
Ru 4.9808 1.6603 1.6603
Ru 4.9808 4.9808 4.9808
Rh 1.6603 1.6603 1.6603
Rh 1.6603 4.9808 4.9808
Rh 4.9808 1.6603 4.9808
Rh 4.9808 4.9808 1.6603
```

Computed properties:
Density: 13.09 g/cm3
DOS at the Fermi energy: 4.09 states/eV/f.u.
Formation energy from the elements: -0.273 eV per atom